Entry 1:
# PBE KTcSnO6, relaxed
# uncorrected formation energy = -12.70 eV per formula unit
# VASP energy = -6.44 eV/atom
data_KTcSnO6
_cell_length_a 5.4311
_cell_length_b 5.4311
_cell_length_c 5.8941
_cell_angle_alpha 90.00
_cell_angle_beta 90.00
_cell_angle_gamma 120.00
_symmetry_space_group_name_H-M 'P 3 1 2'
_symmetry_Int_Tables_number 149
_symmetry_space_group_name_Hall 'P 3 2'
loop_
_atom_site_label
_atom_site_fract_x
_atom_site_fract_y
_atom_site_fract_z
K1 0.0000 0.0000 0.0000
Tc1 0.6667 0.3333 0.5000
Sn1 0.3333 0.6667 0.5000
O1 0.4124 0.0252 0.6890

Entry 2:
# PBE HgAs4Cl, relaxed
# uncorrected formation energy = 0.72 eV per formula unit
# VASP energy = -3.34 eV/atom
data_HgAs4Cl
_cell_length_a 8.5396
_cell_length_b 8.5396
_cell_length_c 8.5396
_cell_angle_alpha 90.00
_cell_angle_beta 90.00
_cell_angle_gamma 90.00
_symmetry_space_group_name_H-M 'F -4 3 m'
_symmetry_Int_Tables_number 216
_symmetry_space_group_name_Hall 'F -4 2 3'
loop_
_atom_site_label
_atom_site_fract_x
_atom_site_fract_y
_atom_site_fract_z
Hg1 0.0000 0.0000 0.0000
As1 0.1030 0.1030 0.6030
Cl1 0.2500 0.2500 0.2500

Entry 3:
# PBE Pr3HfN4, relaxed
# uncorrected formation energy = -10.79 eV per formula unit
# VASP energy = -8.55 eV/atom
# relative energy among the computed polymorphs = 0.000 kcal/mol of atoms
data_Pr3HfN4
_cell_length_a 8.1625
_cell_length_b 7.0453
_cell_length_c 5.2668
_cell_angle_alpha 90.00
_cell_angle_beta 90.00
_cell_angle_gamma 90.00
_symmetry_space_group_name_H-M 'P m n 21'
_symmetry_Int_Tables_number 31
_symmetry_space_group_name_Hall 'P 2ac -2'
loop_
_atom_site_label
_atom_site_fract_x
_atom_site_fract_y
_atom_site_fract_z
Pr1 0.0000 0.1563 0.0000
Pr2 0.2467 0.3308 0.5005
Hf1 0.0000 0.8267 0.4647
N1 0.0000 0.1253 0.5011
N2 0.0000 0.8256 0.0674
N3 0.2268 0.6846 0.5035

Entry 4:
# PBE Ba2ZnGaAg6, relaxed
# formation enthalpy at 0 K = -0.174 eV/atom
# VASP energy = -2.70 eV/atom
data_Ba2ZnGaAg6
_cell_length_a 7.0066
_cell_length_b 7.0267
_cell_length_c 7.2460
_cell_angle_alpha 61.11
_cell_angle_beta 61.21
_cell_angle_gamma 60.12
_symmetry_space_group_name_H-M 'P -1'
_symmetry_Int_Tables_number 2
_symmetry_space_group_name_Hall '-P 1'
loop_
_atom_site_label
_atom_site_fract_x
_atom_site_fract_y
_atom_site_fract_z
Ba1 0.2130 0.2126 0.3608
Zn1 0.5000 0.5000 0.5000
Ga1 0.0000 0.0000 0.0000
Ag1 0.2500 0.2496 0.8408
Ag2 0.2498 0.6595 0.8410
Ag3 0.3410 0.7498 0.1584

Entry 5:
# PBE Al4GaOs, relaxed
# formation enthalpy at 0 K = -0.169 eV/atom
# VASP energy = -5.04 eV/atom
data_Al4GaOs
_cell_length_a 8.5299
_cell_length_b 8.5827
_cell_length_c 11.8551
_cell_angle_alpha 90.00
_cell_angle_beta 90.00
_cell_angle_gamma 90.00
_symmetry_space_group_name_H-M 'F d d d'
_symmetry_Int_Tables_number 70
loop_
_symmetry_equiv_pos_as_xyz
'x,y,z'
'-x,-y,-z'
'-x+1/4,-y+1/4,z'
'x+1/4,y+1/4,-z'
'x,-y+1/4,-z+1/4'
'-x,y+1/4,z+1/4'
'-x+1/4,y,-z+1/4'
'x+1/4,-y,z+1/4'
'x,y+1/2,z+1/2'
'-x,-y+1/2,-z+1/2'
'-x+1/4,-y+3/4,z+1/2'
'x+1/4,y+3/4,-z+1/2'
'x,-y+3/4,-z+3/4'
'-x,y+3/4,z+3/4'
'-x+1/4,y+1/2,-z+3/4'
'x+1/4,-y+1/2,z+3/4'
'x+1/2,y,z+1/2'
'-x+1/2,-y,-z+1/2'
'-x+3/4,-y+1/4,z+1/2'
'x+3/4,y+1/4,-z+1/2'
'x+1/2,-y+1/4,-z+3/4'
'-x+1/2,y+1/4,z+3/4'
'-x+3/4,y,-z+3/4'
'x+3/4,-y,z+3/4'
'x+1/2,y+1/2,z'
'-x+1/2,-y+1/2,-z'
'-x+3/4,-y+3/4,z'
'x+3/4,y+3/4,-z'
'x+1/2,-y+3/4,-z+1/4'
'-x+1/2,y+3/4,z+1/4'
'-x+3/4,y+1/2,-z+1/4'
'x+3/4,-y+1/2,z+1/4'
loop_
_atom_site_label
_atom_site_fract_x
_atom_site_fract_y
_atom_site_fract_z
Al1 0.1150 0.3647 0.2494
Ga1 0.1250 0.1250 0.6250
Os1 0.1250 0.1250 0.1250

Entry 6:
# PBE DyEr2Al9, relaxed
# formation enthalpy at 0 K = -0.418 eV/atom
# VASP energy = -4.37 eV/atom
data_DyEr2Al9
_cell_length_a 4.2421
_cell_length_b 4.2421
_cell_length_c 12.7245
_cell_angle_alpha 90.00
_cell_angle_beta 90.00
_cell_angle_gamma 90.00
_symmetry_space_group_name_H-M 'P 4/m m m'
_symmetry_Int_Tables_number 123
_symmetry_space_group_name_Hall '-P 4 2'
loop_
_atom_site_label
_atom_site_fract_x
_atom_site_fract_y
_atom_site_fract_z
Dy1 0.0000 0.0000 0.0000
Er1 0.0000 0.0000 0.3338
Al1 0.0000 0.5000 0.1677
Al2 0.0000 0.5000 0.5000
Al3 0.5000 0.5000 0.0000
Al4 0.5000 0.5000 0.3336

Entry 7:
# PBE HoEr2Zr, relaxed
# formation enthalpy at 0 K = 0.165 eV/atom
# VASP energy = -5.40 eV/atom
# relative energy among the computed polymorphs = 2.577 kcal/mol of atoms
data_HoEr2Zr
_cell_length_a 3.9920
_cell_length_b 3.9920
_cell_length_c 7.1617
_cell_angle_alpha 90.00
_cell_angle_beta 90.00
_cell_angle_gamma 90.00
_symmetry_space_group_name_H-M 'P 4/m m m'
_symmetry_Int_Tables_number 123
_symmetry_space_group_name_Hall '-P 4 2'
loop_
_atom_site_label
_atom_site_fract_x
_atom_site_fract_y
_atom_site_fract_z
Ho1 0.0000 0.0000 0.0000
Er1 0.5000 0.5000 0.2727
Zr1 0.0000 0.0000 0.5000

Entry 8:
# PBE VC3N, relaxed
# uncorrected formation energy = 14.67 eV per formula unit
# VASP energy = -6.09 eV/atom
# relative energy among the computed polymorphs = 5.233 kcal/mol of atoms
data_VC3N
_cell_length_a 3.9238
_cell_length_b 3.9238
_cell_length_c 3.9238
_cell_angle_alpha 90.00
_cell_angle_beta 90.00
_cell_angle_gamma 90.00
_symmetry_space_group_name_H-M 'P m -3 m'
_symmetry_Int_Tables_number 221
_symmetry_space_group_name_Hall '-P 4 2 3'
loop_
_atom_site_label
_atom_site_fract_x
_atom_site_fract_y
_atom_site_fract_z
V1 0.0000 0.0000 0.0000
C1 0.0000 0.0000 0.5000
N1 0.5000 0.5000 0.5000